Record 1
Ba2Bi2Rh PBE-GGA optimized geometry; calculated volume = 32.63 Å³/atom; DFT formation energy = -2.3 eV per formula unit; energy above the lowest structure with this stoichiometry = 0.1709 eV per atom; raw total energy = -4.261 eV per atom
1.0
-3.070 -6.675 2.222
2.399 1.285 7.177
-4.772 2.573 1.135
Rh Bi Ba
2 4 4
direct
0.000 0.000 0.000 Rh
0.500 0.500 0.000 Rh
0.350 0.850 0.000 Bi
0.850 0.650 0.000 Bi
0.650 0.150 0.000 Bi
0.150 0.350 0.000 Bi
0.167 0.667 0.500 Ba
0.667 0.833 0.500 Ba
0.833 0.333 0.500 Ba
0.333 0.167 0.500 Ba

Record 2
BaBi2Rh2 PBE-GGA optimized geometry; calculated volume = 27.22 Å³/atom; DFT formation energy = -2.1 eV per formula unit; raw total energy = -5.290 eV per atom
1.0
4.807 0.000 0.000
0.000 4.807 0.000
2.403 2.403 5.890
Rh Bi Ba
2 2 1
direct
0.750 0.250 0.500 Rh
0.250 0.750 0.500 Rh
0.356 0.356 0.287 Bi
0.644 0.644 0.713 Bi
0.000 0.000 0.000 Ba